Entry from Alexandria via LeMat-Bulk: a geometry-optimized GeHNO2 structure (GGA-PBEsol).

a b c (Å): 3.828 3.828 2.643
angles (deg): 90.00 90.00 90.00
Fractional positions:
1 Ge 0.000 0.000 0.000
2 H 0.500 0.500 0.500
3 N 0.500 0.500 0.000
4 O 0.000 0.500 0.500
5 O 0.500 0.000 0.500

Calculated values
The total energy comes out at -4.62 eV per atom. The magnetization comes out at 0.001 μB per cell.